1.
The following is a GGA-PBE calculation of a relaxed Mg2ZrRh crystal, from the Alexandria database.

a = 4.3490 Å, b = 4.3490 Å, c = 16.6490 Å
α = 90.00°, β = 90.00°, γ = 90.00°
Sites, in units of the cell vectors:
Mg  0.0000  0.0000  0.1436
Mg  0.0000  0.0000  0.8564
Mg  0.0000  0.5000  0.0000
Mg  0.0000  0.5000  0.5000
Mg  0.5000  0.0000  0.0000
Mg  0.5000  0.0000  0.5000
Mg  0.5000  0.5000  0.3564
Mg  0.5000  0.5000  0.6436
Zr  0.0000  0.0000  0.3525
Zr  0.0000  0.0000  0.6475
Zr  0.5000  0.5000  0.1475
Zr  0.5000  0.5000  0.8525
Rh  0.0000  0.5000  0.2500
Rh  0.0000  0.5000  0.7500
Rh  0.5000  0.0000  0.2500
Rh  0.5000  0.0000  0.7500

Summary:
Magnetic moment ... 0.000 μB/atom
DOS(E_F) ... 1.94 states/eV/f.u.
Calculated volume ... 314.9 Å³/cell
Raw total energy ... -5.133 eV/atom

2.
The following is a GGA-PBE calculation of a relaxed Rb2AsRuCl6 crystal, from the Alexandria database.

a = 7.2027 Å, b = 7.2027 Å, c = 7.2027 Å
α = 120.71°, β = 120.71°, γ = 88.78°
Sites, in units of the cell vectors:
Rb  0.2500  0.7500  0.5000
Rb  0.7500  0.2500  0.5000
As  0.0000  0.0000  0.0000
Ru  0.5000  0.5000  0.0000
Cl  0.2568  0.2568  0.5137
Cl  0.2568  0.7432  0.0000
Cl  0.2614  0.2614  0.0000
Cl  0.7386  0.7386  0.0000
Cl  0.7432  0.2568  0.0000
Cl  0.7432  0.7432  0.4863

Summary:
Magnetic moment ... 0.053 μB/atom
DOS(E_F) ... 6.97 states/eV/f.u.
Calculated volume ... 261.3 Å³/cell
Energy relative to the elements, uncorrected ... -0.905 eV per atom

Copy entry 1 word for word.
The following is a GGA-PBE calculation of a relaxed Mg2ZrRh crystal, from the Alexandria database.

a = 4.3490 Å, b = 4.3490 Å, c = 16.6490 Å
α = 90.00°, β = 90.00°, γ = 90.00°
Sites, in units of the cell vectors:
Mg  0.0000  0.0000  0.1436
Mg  0.0000  0.0000  0.8564
Mg  0.0000  0.5000  0.0000
Mg  0.0000  0.5000  0.5000
Mg  0.5000  0.0000  0.0000
Mg  0.5000  0.0000  0.5000
Mg  0.5000  0.5000  0.3564
Mg  0.5000  0.5000  0.6436
Zr  0.0000  0.0000  0.3525
Zr  0.0000  0.0000  0.6475
Zr  0.5000  0.5000  0.1475
Zr  0.5000  0.5000  0.8525
Rh  0.0000  0.5000  0.2500
Rh  0.0000  0.5000  0.7500
Rh  0.5000  0.0000  0.2500
Rh  0.5000  0.0000  0.7500

Summary:
Magnetic moment ... 0.000 μB/atom
DOS(E_F) ... 1.94 states/eV/f.u.
Calculated volume ... 314.9 Å³/cell
Raw total energy ... -5.133 eV/atom

Copy entry 1 word for word.
The following is a GGA-PBE calculation of a relaxed Mg2ZrRh crystal, from the Alexandria database.

a = 4.3490 Å, b = 4.3490 Å, c = 16.6490 Å
α = 90.00°, β = 90.00°, γ = 90.00°
Sites, in units of the cell vectors:
Mg  0.0000  0.0000  0.1436
Mg  0.0000  0.0000  0.8564
Mg  0.0000  0.5000  0.0000
Mg  0.0000  0.5000  0.5000
Mg  0.5000  0.0000  0.0000
Mg  0.5000  0.0000  0.5000
Mg  0.5000  0.5000  0.3564
Mg  0.5000  0.5000  0.6436
Zr  0.0000  0.0000  0.3525
Zr  0.0000  0.0000  0.6475
Zr  0.5000  0.5000  0.1475
Zr  0.5000  0.5000  0.8525
Rh  0.0000  0.5000  0.2500
Rh  0.0000  0.5000  0.7500
Rh  0.5000  0.0000  0.2500
Rh  0.5000  0.0000  0.7500

Summary:
Magnetic moment ... 0.000 μB/atom
DOS(E_F) ... 1.94 states/eV/f.u.
Calculated volume ... 314.9 Å³/cell
Raw total energy ... -5.133 eV/atom

- Look up the calculated volume of the second one.
  261.3 Å³/cell

- Among the records above, which one has the lowest magnetic moment?
  Mg2ZrRh